Entry from Alexandria via LeMat-Bulk: Ba5Na2Sr5 after structural relaxation (PBE).

Output
D(E_F) (states/eV/cell): 15.87
E_tot (eV for the cell shown): -20.29
Formation enthalpy at 0 K (eV per atom): 0.031

Cell: 8.394 8.394 13.191 Å, 90.01 90.01 46.64°
Fractional positions:
Ba1 0.000 0.000 0.000
Ba2 0.330 0.330 0.484
Ba3 0.483 0.483 0.753
Ba4 0.517 0.517 0.247
Ba5 0.670 0.670 0.516
Na1 0.164 0.164 0.257
Na2 0.836 0.836 0.743
Sr1 0.000 0.000 0.500
Sr2 0.180 0.180 0.751
Sr3 0.323 0.323 0.025
Sr4 0.677 0.677 0.975
Sr5 0.820 0.820 0.249


Entry from Alexandria via LeMat-Bulk: Ba6Na2Sr after structural relaxation (PBE).

Output
D(E_F) (states/eV/cell): 11.96
E_tot (eV for the cell shown): -15.26
Formation enthalpy at 0 K (eV per atom): 0.066

Cell: 4.363 4.363 31.728 Å, 90.00 90.00 120.00°
Fractional positions:
Ba1 0.000 0.000 0.064
Ba2 0.000 0.000 0.270
Ba3 0.000 0.000 0.730
Ba4 0.000 0.000 0.936
Ba5 0.333 0.667 0.387
Ba6 0.333 0.667 0.613
Na1 0.333 0.667 0.166
Na2 0.333 0.667 0.834
Sr1 0.000 0.000 0.500


Entry from Alexandria via LeMat-Bulk: Ba5NaSr3 after structural relaxation (PBE).

Output
D(E_F) (states/eV/cell): 31.40
E_tot (eV for the cell shown): -30.54
Formation enthalpy at 0 K (eV per atom): 0.079

Cell: 12.237 12.237 8.234 Å, 90.00 90.00 120.00°
Fractional positions:
Ba1 0.000 0.284 0.250
Ba2 0.000 0.716 0.750
Ba3 0.284 0.000 0.250
Ba4 0.284 0.284 0.750
Ba5 0.333 0.667 0.000
Ba6 0.333 0.667 0.500
Ba7 0.667 0.333 0.000
Ba8 0.667 0.333 0.500
Ba9 0.716 0.000 0.750
Ba10 0.716 0.716 0.250
Na1 0.000 0.000 0.000
Na2 0.000 0.000 0.500
Sr1 0.000 0.378 0.750
Sr2 0.000 0.622 0.250
Sr3 0.378 0.000 0.750
Sr4 0.378 0.378 0.250
Sr5 0.622 0.000 0.250
Sr6 0.622 0.622 0.750


Entry from Alexandria via LeMat-Bulk: Ba2Na2Sr3 after structural relaxation (PBE).

Output
D(E_F) (states/eV/cell): 7.98
E_tot (eV for the cell shown): -11.35
Formation enthalpy at 0 K (eV per atom): 0.025

Cell: 7.588 7.588 8.504 Å, 90.76 90.76 49.41°
Fractional positions:
Ba1 0.101 0.101 0.306
Ba2 0.899 0.899 0.694
Na1 0.383 0.383 0.421
Na2 0.617 0.617 0.579
Sr1 0.202 0.202 0.835
Sr2 0.500 0.500 0.000
Sr3 0.798 0.798 0.165


Entry from Alexandria via LeMat-Bulk: BaNa2Sr2 after structural relaxation (PBE).

Output
D(E_F) (states/eV/cell): 5.46
E_tot (eV for the cell shown): -7.42
Formation enthalpy at 0 K (eV per atom): 0.101

Cell: 13.291 13.291 13.291 Å, 160.58 160.58 27.60°
Fractional positions:
Ba1 0.000 0.000 0.000
Na1 0.250 0.750 0.500
Na2 0.750 0.250 0.500
Sr1 0.379 0.379 0.000
Sr2 0.621 0.621 0.000


Entry from Alexandria via LeMat-Bulk: Ba2Na2Sr5 after structural relaxation (PBE).

Output
D(E_F) (states/eV/cell): 8.72
E_tot (eV for the cell shown): -14.68
Formation enthalpy at 0 K (eV per atom): 0.024

Cell: 9.723 9.723 9.339 Å, 108.07 108.07 35.28°
Fractional positions:
Ba1 0.221 0.221 0.314
Ba2 0.779 0.779 0.686
Na1 0.340 0.340 0.003
Na2 0.660 0.660 0.997
Sr1 0.000 0.000 0.000
Sr2 0.111 0.111 0.676
Sr3 0.447 0.447 0.671
Sr4 0.553 0.553 0.329
Sr5 0.889 0.889 0.324


Entry from Alexandria via LeMat-Bulk: Ba3Na4Sr2 after structural relaxation (PBE).

Output
D(E_F) (states/eV/cell): 9.17
E_tot (eV for the cell shown): -14.21
Formation enthalpy at 0 K (eV per atom): 0.022

Cell: 6.580 6.580 12.168 Å, 90.01 90.01 59.99°
Fractional positions:
Ba1 0.000 0.000 0.000
Ba2 0.334 0.334 0.583
Ba3 0.666 0.666 0.417
Na1 0.001 0.001 0.656
Na2 0.334 0.334 0.899
Na3 0.666 0.666 0.101
Na4 0.999 0.999 0.344
Sr1 0.333 0.333 0.218
Sr2 0.667 0.667 0.782


Entry from Alexandria via LeMat-Bulk: Ba3NaSr3Tl2 after structural relaxation (PBE).

Output
D(E_F) (states/eV/cell): 10.59
E_tot (eV for the cell shown): -17.94
Formation enthalpy at 0 K (eV per atom): -0.120

Cell: 10.145 10.145 4.603 Å, 90.00 90.00 120.00°
Fractional positions:
Ba1 0.000 0.713 0.000
Ba2 0.287 0.287 0.000
Ba3 0.713 0.000 0.000
Na1 0.000 0.000 0.500
Sr1 0.000 0.399 0.500
Sr2 0.399 0.000 0.500
Sr3 0.601 0.601 0.500
Tl1 0.333 0.667 0.000
Tl2 0.667 0.333 0.000


Entry from Alexandria via LeMat-Bulk: BaNaSr2Tl4 after structural relaxation (PBE).

Output
D(E_F) (states/eV/cell): 5.91
E_tot (eV for the cell shown): -18.66
Formation enthalpy at 0 K (eV per atom): -0.323

Cell: 10.169 10.169 10.169 Å, 32.97 32.97 32.97°
Fractional positions:
Ba1 0.000 0.000 0.000
Na1 0.500 0.500 0.500
Sr1 0.245 0.245 0.245
Sr2 0.755 0.755 0.755
Tl1 0.125 0.125 0.125
Tl2 0.383 0.383 0.383
Tl3 0.617 0.617 0.617
Tl4 0.875 0.875 0.875


Entry from Alexandria via LeMat-Bulk: BaNaSr2Tl after structural relaxation (PBE).

Output
D(E_F) (states/eV/cell): 6.16
E_tot (eV for the cell shown): -9.03
Formation enthalpy at 0 K (eV per atom): -0.012

Cell: 6.514 6.514 6.096 Å, 90.00 90.00 90.00°
Fractional positions:
Ba1 0.000 0.000 0.000
Na1 0.500 0.500 0.000
Sr1 0.000 0.500 0.500
Sr2 0.500 0.000 0.500
Tl1 0.500 0.500 0.500


Entry from Alexandria via LeMat-Bulk: Ba3Na2Sr3Tl after structural relaxation (PBE).

Output
D(E_F) (states/eV/cell): 11.44
E_tot (eV for the cell shown): -16.37
Formation enthalpy at 0 K (eV per atom): -0.061

Cell: 10.748 10.748 4.601 Å, 90.00 90.00 120.00°
Fractional positions:
Ba1 0.000 0.751 0.000
Ba2 0.249 0.249 0.000
Ba3 0.751 0.000 0.000
Na1 0.333 0.667 0.000
Na2 0.667 0.333 0.000
Sr1 0.000 0.391 0.500
Sr2 0.391 0.000 0.500
Sr3 0.609 0.609 0.500
Tl1 0.000 0.000 0.500


Entry from Alexandria via LeMat-Bulk: BaNaSr2Tl after structural relaxation (PBE).

Output
D(E_F) (states/eV/cell): 4.43
E_tot (eV for the cell shown): -9.18
Formation enthalpy at 0 K (eV per atom): -0.041

Cell: 6.519 6.519 6.703 Å, 90.00 90.00 90.00°
Fractional positions:
Ba1 0.000 0.000 0.000
Na1 0.500 0.500 0.000
Sr1 0.000 0.500 0.500
Sr2 0.500 0.000 0.500
Tl1 0.000 0.000 0.500


Entry from Alexandria via LeMat-Bulk: BaNaSr2Zn after structural relaxation (PBE).

Output
D(E_F) (states/eV/cell): 5.26
E_tot (eV for the cell shown): -7.67
Formation enthalpy at 0 K (eV per atom): 0.042

Cell: 6.303 6.303 5.962 Å, 90.00 90.00 90.00°
Fractional positions:
Ba1 0.000 0.000 0.000
Na1 0.500 0.500 0.000
Sr1 0.000 0.500 0.500
Sr2 0.500 0.000 0.500
Zn1 0.500 0.500 0.500


Entry from Alexandria via LeMat-Bulk: BaNaSr2Zn after structural relaxation (PBE).

Output
D(E_F) (states/eV/cell): 4.44
E_tot (eV for the cell shown): -7.89
Formation enthalpy at 0 K (eV per atom): -0.002

Cell: 6.289 6.289 6.432 Å, 90.00 90.00 90.00°
Fractional positions:
Ba1 0.000 0.000 0.000
Na1 0.500 0.500 0.000
Sr1 0.000 0.500 0.500
Sr2 0.500 0.000 0.500
Zn1 0.000 0.000 0.500


Entry from Alexandria via LeMat-Bulk: BaNaTa3 after structural relaxation (PBE).

Output
D(E_F) (states/eV/cell): 4.70
E_tot (eV for the cell shown): -24.71
Formation enthalpy at 0 K (eV per atom): 2.818

Cell: 5.165 5.165 5.165 Å, 90.00 90.00 90.00°
Fractional positions:
Ba1 0.000 0.000 0.000
Na1 0.500 0.500 0.500
Ta1 0.000 0.000 0.500
Ta2 0.000 0.500 0.000
Ta3 0.500 0.000 0.000


Entry from Alexandria via LeMat-Bulk: BaNaTa2 after structural relaxation (PBE).

Output
D(E_F) (states/eV/cell): 8.19
E_tot (eV for the cell shown): -19.55
Formation enthalpy at 0 K (eV per atom): 1.848

Cell: 5.162 5.162 5.162 Å, 60.00 60.00 60.00°
Fractional positions:
Ba1 0.000 0.000 0.000
Na1 0.500 0.500 0.500
Ta1 0.250 0.250 0.250
Ta2 0.750 0.750 0.750


Entry from Alexandria via LeMat-Bulk: BaNa3Ta after structural relaxation (PBE).

Output
D(E_F) (states/eV/cell): 6.78
E_tot (eV for the cell shown): -8.33
Formation enthalpy at 0 K (eV per atom): 1.880

Cell: 6.041 6.041 6.041 Å, 90.00 90.00 90.00°
Fractional positions:
Ba1 0.000 0.000 0.000
Na1 0.000 0.000 0.500
Na2 0.000 0.500 0.000
Na3 0.500 0.000 0.000
Ta1 0.500 0.500 0.500


Entry from Alexandria via LeMat-Bulk: BaNa2Ta after structural relaxation (PBE).

Output
D(E_F) (states/eV/cell): 4.66
E_tot (eV for the cell shown): -11.96
Formation enthalpy at 0 K (eV per atom): 1.112

Cell: 5.722 5.722 5.722 Å, 60.00 60.00 60.00°
Fractional positions:
Ba1 0.000 0.000 0.000
Na1 0.250 0.250 0.250
Na2 0.750 0.750 0.750
Ta1 0.500 0.500 0.500


Entry from Alexandria via LeMat-Bulk: BaNaTa3 after structural relaxation (PBE).

Output
D(E_F) (states/eV/cell): 6.72
E_tot (eV for the cell shown): -26.94
Formation enthalpy at 0 K (eV per atom): 2.372

Cell: 5.019 5.019 5.019 Å, 90.00 90.00 90.00°
Fractional positions:
Ba1 0.000 0.000 0.000
Na1 0.500 0.500 0.500
Ta1 0.000 0.500 0.500
Ta2 0.500 0.000 0.500
Ta3 0.500 0.500 0.000


Entry from Alexandria via LeMat-Bulk: BaNaTa2 after structural relaxation (PBE).

Output
D(E_F) (states/eV/cell): 12.14
E_tot (eV for the cell shown): -40.24
Formation enthalpy at 0 K (eV per atom): 1.706

Cell: 6.877 6.877 6.877 Å, 99.17 99.17 132.93°
Fractional positions:
Ba1 0.000 0.000 0.000
Ba2 0.750 0.250 0.500
Na1 0.250 0.750 0.500
Na2 0.500 0.500 0.000
Ta1 0.145 0.625 0.020
Ta2 0.375 0.395 0.520
Ta3 0.605 0.125 0.980
Ta4 0.875 0.855 0.480